[1]
TaZn2Rh | PBEsol | optimized geometry

Its density is 11.85 g/cm³. The total energy is -0.2288 hartree per atom. The volume is 58.1 Å³/cell. For the total moment, the calculation gives 0.00 μB/f.u. For the density of states at the Fermi level, the calculation gives 1.416 states/eV/f.u. The crystal system is tetragonal.

It has space group P4mm (No. 99), with a = 2.971 Å, b = 2.971 Å, c = 6.580 Å, α = 90.00°, β = 90.00° and γ = 90.00°. The inequivalent atoms are Ta at (0.000, 0.000, 0.000), Zn at (0.000, 0.000, 0.514), Zn at (0.500, 0.500, 0.282) and Rh at (0.500, 0.500, 0.754).

---

[2]
MgTcBr | PBEsol | optimized geometry

The raw formation energy is 0.524 eV per atom. Its density is 6.51 g/cm³. The volume is 51.6 Å³/cell. For the total moment, the calculation gives 0.17 μB/f.u. For the density of states at the Fermi level, the calculation gives 3.567 states/eV/f.u. The crystal system is hexagonal.

It has space group P-6m2 (No. 187), with a = 4.4163 Å, b = 4.4163 Å, c = 3.0520 Å, α = 90.00°, β = 90.00° and γ = 120.00°. The inequivalent atoms are Mg at (0.0000, 0.0000, 0.0000), Tc at (0.3333, 0.6667, 0.5000) and Br at (0.6667, 0.3333, 0.5000).

---

[3]
BaMg2Al | PBEsol | optimized geometry

Its density is 3.06 g/cm³. The total energy is -0.0845 hartree per atom. The volume is 115.7 Å³/cell. For the total moment, the calculation gives 0.00 μB/f.u. For the density of states at the Fermi level, the calculation gives 4.560 states/eV/f.u. The crystal system is tetragonal.

It has space group P4/mmm (No. 123), with a = 4.799 Å, b = 4.799 Å, c = 5.024 Å, α = 90.00°, β = 90.00° and γ = 90.00°. The inequivalent atoms are Ba at (0.000, 0.000, 0.000), Mg at (0.000, 0.500, 0.500) and Al at (0.500, 0.500, 0.000).